# 1
A relaxed structure of Tb4InOs, computed with PBE-GGA.

Lattice parameters (Å, degrees): 9.691 9.691 9.691 60.00 60.00 60.00
Fractional positions:
Tb 0.403 0.403 0.403
Tb 0.791 0.403 0.403
Tb 0.403 0.791 0.403
Tb 0.403 0.403 0.791
Tb 0.557 0.557 0.943
Tb 0.943 0.943 0.557
Tb 0.557 0.943 0.557
Tb 0.943 0.557 0.943
Tb 0.943 0.557 0.557
Tb 0.557 0.943 0.943
Tb 0.193 0.193 0.807
Tb 0.807 0.807 0.193
Tb 0.193 0.807 0.193
Tb 0.807 0.193 0.807
Tb 0.807 0.193 0.193
Tb 0.193 0.807 0.807
In 0.168 0.168 0.168
In 0.496 0.168 0.168
In 0.168 0.496 0.168
In 0.168 0.168 0.496
Os 0.612 0.612 0.612
Os 0.165 0.612 0.612
Os 0.612 0.165 0.612
Os 0.612 0.612 0.165

Calculated values
N(E_F) in states/eV/cell: 21.45
Energy above the most stable polymorph in this dataset in eV per formula unit: 0.00
DFT total energy in eV per atom: -5.75
E_form in eV/atom: -0.34

# 2
A relaxed structure of Fe2NiAu, computed with PBE-GGA.

Lattice parameters (Å, degrees): 8.774 8.774 8.774 17.63 17.63 17.63
Site moments in Bohr magnetons follow the coordinates.
Fractional positions:
Au 0.751 0.751 0.751  -0.03
Fe 0.994 0.994 0.994  2.67
Fe 0.248 0.248 0.248  2.71
Ni 0.507 0.507 0.507  0.59

Calculated values
N(E_F) in states/eV/cell: 3.77
Energy above the most stable polymorph in this dataset in eV per formula unit: 0.49
DFT total energy in eV per atom: -6.31
E_form in eV/atom: 0.18